1.
This record from the Alexandria database describes crystalline Ca2NiSb4Ir3 at its relaxed geometry. The functional is PBE-GGA.

Computed properties:
* calculated volume: 21.74 Å³ per atom
* energy: -5.746 eV per atom
* size of the total moment: 0.00 μB per formula unit
* ΔE_f (raw): -4.60 eV per formula unit

The structure in CIF format:
```
data_Ca2NiSb4Ir3
_chemical_formula_sum 'Ca2 Ni1 Sb4 Ir3'
_symmetry_space_group_name_H-M 'P -4 m 2'
_symmetry_Int_Tables_number 115
_cell_length_a 4.532
_cell_length_b 4.532
_cell_length_c 10.586
_cell_angle_alpha 90.00
_cell_angle_beta 90.00
_cell_angle_gamma 90.00
loop_
_symmetry_equiv_pos_as_xyz
'x,y,z'
'y,-x,-z'
'-x,-y,z'
'-y,x,-z'
'-x,y,z'
'-y,-x,-z'
'x,-y,z'
'y,x,-z'
loop_
_atom_site_label
_atom_site_type_symbol
_atom_site_fract_x
_atom_site_fract_y
_atom_site_fract_z
Ca1 Ca 0.000 0.500 0.241
Ni1 Ni 0.500 0.500 0.000
Sb1 Sb 0.000 0.000 0.500
Sb2 Sb 0.000 0.500 0.874
Sb3 Sb 0.500 0.500 0.500
Ir1 Ir 0.000 0.000 0.000
Ir2 Ir 0.000 0.500 0.628
```

=====

2.
This record from the Alexandria database describes crystalline Mn2InI at its relaxed geometry. The functional is PBE-GGA.

Computed properties:
* calculated volume: 24.09 Å³ per atom
* energy: -5.067 eV per atom
* size of the total moment: 8.25 μB per formula unit
* ΔE to the lowest computed polymorph: 0.0 meV per atom
* ΔE_f (raw): 2.36 eV per formula unit

The structure in CIF format:
```
data_Mn2InI
_chemical_formula_sum 'Mn8 In4 I4'
_symmetry_space_group_name_H-M 'I -4 2 d'
_symmetry_Int_Tables_number 122
_symmetry_space_group_name_Hall 'I -4 2bw'
_cell_length_a 7.712
_cell_length_b 7.712
_cell_length_c 6.479
_cell_angle_alpha 90.00
_cell_angle_beta 90.00
_cell_angle_gamma 90.00
loop_
_atom_site_label
_atom_site_type_symbol
_atom_site_fract_x
_atom_site_fract_y
_atom_site_fract_z
Mn1 Mn 0.248 0.750 0.125
In1 In 0.000 0.000 0.000
I1 I 0.000 0.000 0.500
```

=====

3.
This record from the Alexandria database describes crystalline MgNiW4 at its relaxed geometry. The functional is PBE-GGA.

Computed properties:
* calculated volume: 17.30 Å³ per atom
* energy: -9.212 eV per atom
* size of the total moment: 0.00 μB per formula unit
* ΔE_f: 0.65 eV/atom

The structure in CIF format:
```
data_MgNiW4
_chemical_formula_sum 'Mg4 Ni4 W16'
_symmetry_space_group_name_H-M 'F -4 3 m'
_symmetry_Int_Tables_number 216
_symmetry_space_group_name_Hall 'F -4 2 3'
_cell_length_a 7.460
_cell_length_b 7.460
_cell_length_c 7.460
_cell_angle_alpha 90.00
_cell_angle_beta 90.00
_cell_angle_gamma 90.00
loop_
_atom_site_label
_atom_site_type_symbol
_atom_site_fract_x
_atom_site_fract_y
_atom_site_fract_z
Mg1 Mg 0.000 0.000 0.000
Ni1 Ni 0.250 0.250 0.250
W1 W 0.126 0.126 0.626
```

=====

4.
This record from the Alexandria database describes crystalline DyTlAg at its relaxed geometry. The functional is PBE-GGA.

Computed properties:
* calculated volume: 24.03 Å³ per atom
* energy: -3.511 eV per atom
* size of the total moment: 0.00 μB per formula unit
* ΔE_f: -0.24 eV/atom

The structure in CIF format:
```
data_DyTlAg
_chemical_formula_sum 'Dy2 Tl2 Ag2'
_symmetry_space_group_name_H-M 'P 1 21/m 1'
_symmetry_Int_Tables_number 11
_cell_length_a 4.633
_cell_length_b 4.797
_cell_length_c 6.852
_cell_angle_alpha 90.00
_cell_angle_beta 108.77
_cell_angle_gamma 90.00
loop_
_symmetry_equiv_pos_as_xyz
'x,y,z'
'-x,-y,-z'
'-x,y+1/2,-z'
'x,-y+1/2,z'
loop_
_atom_site_label
_atom_site_type_symbol
_atom_site_fract_x
_atom_site_fract_y
_atom_site_fract_z
Dy1 Dy 0.100 0.250 0.202
Tl1 Tl 0.395 0.250 0.812
Ag1 Ag 0.260 0.750 0.494
```

=====

5.
This record from the Alexandria database describes crystalline BaNi2Te at its relaxed geometry. The functional is PBE-GGA.

Computed properties:
* calculated volume: 26.65 Å³ per atom
* energy: -4.495 eV per atom
* size of the total moment: 0.00 μB per formula unit
* ΔE_f (raw): -1.35 eV per formula unit

The structure in CIF format:
```
data_BaNi2Te
_chemical_formula_sum 'Ba4 Ni8 Te4'
_symmetry_space_group_name_H-M 'I 41/a m d'
_symmetry_Int_Tables_number 141
_cell_length_a 5.081
_cell_length_b 5.081
_cell_length_c 16.521
_cell_angle_alpha 90.00
_cell_angle_beta 90.00
_cell_angle_gamma 90.00
loop_
_symmetry_equiv_pos_as_xyz
'x,y,z'
'-x,-y,-z'
'-y+1/4,x+3/4,z+1/4'
'y+1/4,-x+3/4,-z+1/4'
'-x+1/2,-y,z+1/2'
'x+1/2,y,-z+1/2'
'y+1/4,-x+1/4,z+3/4'
'-y+1/4,x+1/4,-z+3/4'
'x,-y,-z'
'-x,y,z'
'-y+1/4,-x+1/4,-z+3/4'
'y+1/4,x+1/4,z+3/4'
'-x+1/2,y,-z+1/2'
'x+1/2,-y,z+1/2'
'y+1/4,x+3/4,-z+1/4'
'-y+1/4,-x+3/4,z+1/4'
'x+1/2,y+1/2,z+1/2'
'-x+1/2,-y+1/2,-z+1/2'
'-y+3/4,x+1/4,z+3/4'
'y+3/4,-x+1/4,-z+3/4'
'-x,-y+1/2,z'
'x,y+1/2,-z'
'y+3/4,-x+3/4,z+1/4'
'-y+3/4,x+3/4,-z+1/4'
'x+1/2,-y+1/2,-z+1/2'
'-x+1/2,y+1/2,z+1/2'
'-y+3/4,-x+3/4,-z+1/4'
'y+3/4,x+3/4,z+1/4'
'-x,y+1/2,-z'
'x,-y+1/2,z'
'y+3/4,x+1/4,-z+3/4'
'-y+3/4,-x+1/4,z+3/4'
loop_
_atom_site_label
_atom_site_type_symbol
_atom_site_fract_x
_atom_site_fract_y
_atom_site_fract_z
Ba1 Ba 0.000 0.250 0.375
Ni1 Ni 0.000 0.000 0.000
Te1 Te 0.000 0.250 0.875
```

=====

6.
This record from the Alexandria database describes crystalline HfGeSbCl2 at its relaxed geometry. The functional is PBE-GGA.

Computed properties:
* calculated volume: 26.63 Å³ per atom
* energy: -4.809 eV per atom
* size of the total moment: 1.06 μB per formula unit
* ΔE_f (raw): -1.66 eV per formula unit

The structure in CIF format:
```
data_HfGeSbCl2
_chemical_formula_sum 'Hf1 Ge1 Sb1 Cl2'
_symmetry_space_group_name_H-M 'P 4/m m m'
_symmetry_Int_Tables_number 123
_symmetry_space_group_name_Hall '-P 4 2'
_cell_length_a 4.814
_cell_length_b 4.814
_cell_length_c 5.746
_cell_angle_alpha 90.00
_cell_angle_beta 90.00
_cell_angle_gamma 90.00
loop_
_atom_site_label
_atom_site_type_symbol
_atom_site_fract_x
_atom_site_fract_y
_atom_site_fract_z
Hf1 Hf 0.000 0.000 0.000
Ge1 Ge 0.000 0.000 0.500
Sb1 Sb 0.500 0.500 0.500
Cl1 Cl 0.000 0.500 0.000
```